(1)
Compound: PtC5
Source: the Alexandria database
Functional: SCAN
Structure: single point on PBEsol structure

## Properties
Total moment (Bohr magnetons per cell): 0.00
Formation enthalpy at 0 K (eV/atom): 2.4849
Excess energy over the best structure of this formula in the dataset (kJ/mol of atoms): 168.7

a = 3.321 Å, b = 3.321 Å, c = 5.262 Å
α = 90.00°, β = 90.00°, γ = 90.00°
Fractional positions:
C 0.000 0.000 0.757
C 0.000 0.000 0.243
C 0.500 0.500 0.624
C 0.500 0.500 0.376
C 0.000 0.000 0.500
Pt 0.500 0.500 0.000



(2)
Compound: ZnTe2As2
Source: the Alexandria database
Functional: SCAN
Structure: single point on PBEsol structure

## Properties
Total moment (Bohr magnetons per cell): 0.00
Final energy (eV for the cell shown): -254.14

a = 3.932 Å, b = 7.809 Å, c = 7.809 Å
α = 90.00°, β = 90.00°, γ = 90.00°
Fractional positions:
As 0.000 0.316 0.816
As 0.000 0.816 0.684
As 0.000 0.684 0.184
As 0.000 0.184 0.316
Te 0.500 0.151 0.651
Te 0.500 0.651 0.849
Te 0.500 0.849 0.349
Te 0.500 0.349 0.151
Zn 0.000 0.000 0.000
Zn 0.000 0.500 0.500



(3)
Compound: CuCl2F
Source: the Alexandria database
Functional: SCAN
Structure: single point on PBEsol structure

## Properties
Total moment (Bohr magnetons per cell): 2.00
Excess energy over the best structure of this formula in the dataset (kJ/mol of atoms): 0.0

a = 3.969 Å, b = 3.969 Å, c = 7.110 Å
α = 73.79°, β = 73.79°, γ = 60.00°
Each line ends with the local moment (μB).
Fractional positions:
F 0.500 0.500 0.500  0.60
Cu 0.000 0.000 0.000  0.43
Cl 0.900 0.900 0.299  0.41
Cl 0.100 0.100 0.701  0.41